Hg2Pt2Se: optimized geometry, PBE.

Summary:
SG: P4/mbm (127)
ΔE_f (raw) in eV per atom: 0.101
Calculated total energy in eV per atom: -3.13

Unit cell a=7.040 b=7.040 c=3.977 alpha=90.00 beta=90.00 gamma=90.00
Fractional coordinates of all 10 atoms:
Hg: 0.159 0.341 0.000
Hg: 0.341 0.841 0.000
Hg: 0.659 0.159 0.000
Hg: 0.841 0.659 0.000
Pt: 0.144 0.644 0.500
Pt: 0.356 0.144 0.500
Pt: 0.644 0.856 0.500
Pt: 0.856 0.356 0.500
Se: 0.000 0.000 0.500
Se: 0.500 0.500 0.500

***

HgPt4Se8: optimized geometry, PBE.

Summary:
SG: R-3m (166)
ΔE_f (raw) in eV per atom: -0.357
Calculated total energy in eV per atom: -4.38

Unit cell a=9.134 b=9.134 c=9.134 alpha=48.61 beta=48.61 gamma=48.61
Fractional coordinates of all 13 atoms:
Hg: 0.000 0.000 0.000
Pt: 0.000 0.000 0.500
Pt: 0.000 0.500 0.000
Pt: 0.500 0.000 0.000
Pt: 0.500 0.500 0.500
Se: 0.221 0.221 0.221
Se: 0.221 0.721 0.721
Se: 0.279 0.279 0.779
Se: 0.279 0.779 0.279
Se: 0.721 0.221 0.721
Se: 0.721 0.721 0.221
Se: 0.779 0.279 0.279
Se: 0.779 0.779 0.779

***

HgPt3Se: optimized geometry, PBE.

Summary:
SG: Pm-3m (221)
ΔE_f (raw) in eV per atom: 1.529
Calculated total energy in eV per atom: -2.85

Unit cell a=5.017 b=5.017 c=5.017 alpha=90.00 beta=90.00 gamma=90.00
Fractional coordinates of all 5 atoms:
Hg: 0.000 0.000 0.000
Pt: 0.000 0.000 0.500
Pt: 0.000 0.500 0.000
Pt: 0.500 0.000 0.000
Se: 0.500 0.500 0.500